Entry 1:
DFT (GGA-PBE) results for an optimized crystal structure of ScAlGa3.

space-group type = Pm-3m
energy relative to the lowest polymorph listed for this composition = 830.4 meV/atom

a b c (Å): 5.2433 5.2433 5.2433
angles (deg): 90.00 90.00 90.00
Fractional coordinates of all 5 atoms:
Sc (0.0000, 0.0000, 0.0000)
Al (0.5000, 0.5000, 0.5000)
Ga (0.0000, 0.5000, 0.0000)
Ga (0.0000, 0.0000, 0.5000)
Ga (0.5000, 0.0000, 0.0000)

Entry 2:
DFT (GGA-PBE) results for an optimized crystal structure of Sc5Al4Ga.

space-group type = P4/mmm
VASP energy = -5.440 eV per atom

a b c (Å): 3.3655 3.3655 16.9316
angles (deg): 90.00 90.00 90.00
Fractional coordinates of all 10 atoms:
Sc (0.5000, 0.5000, 0.0981)
Sc (0.5000, 0.5000, 0.2998)
Sc (0.5000, 0.5000, 0.5000)
Sc (0.5000, 0.5000, 0.7002)
Sc (0.5000, 0.5000, 0.9019)
Al (0.0000, 0.0000, 0.1998)
Al (0.0000, 0.0000, 0.3999)
Al (0.0000, 0.0000, 0.6001)
Al (0.0000, 0.0000, 0.8002)
Ga (0.0000, 0.0000, 0.0000)

Entry 3:
DFT (GGA-PBE) results for an optimized crystal structure of ScAl2Ga.

space-group type = P4/mmm
VASP energy = -4.677 eV per atom

a b c (Å): 4.1410 4.0810 4.0810
angles (deg): 90.00 90.00 90.00
Fractional coordinates of all 4 atoms:
Sc (0.5000, 0.5000, 0.5000)
Al (0.0000, 0.0000, 0.5000)
Al (0.0000, 0.5000, 0.0000)
Ga (0.5000, 0.0000, 0.0000)

Entry 4:
DFT (GGA-PBE) results for an optimized crystal structure of Sc9Al2Ga.

space-group type = P4/mmm
VASP energy = -5.896 eV per atom

a b c (Å): 4.4108 4.4108 13.2397
angles (deg): 90.00 90.00 90.00
Each line ends with the local moment (μB).
Fractional coordinates of all 12 atoms:
Sc (0.5000, 0.5000, 0.0000)  0.28
Sc (0.5000, 0.5000, 0.3324)  0.15
Sc (0.5000, 0.5000, 0.6676)  0.15
Sc (0.5000, 0.0000, 0.1652)  0.22
Sc (0.5000, 0.0000, 0.5000)  0.15
Sc (0.5000, 0.0000, 0.8348)  0.22
Sc (0.0000, 0.5000, 0.1652)  0.22
Sc (0.0000, 0.5000, 0.5000)  0.15
Sc (0.0000, 0.5000, 0.8348)  0.22
Al (0.0000, 0.0000, 0.3326)  -0.01
Al (0.0000, 0.0000, 0.6674)  -0.01
Ga (0.0000, 0.0000, 0.0000)  -0.02

Entry 5:
DFT (GGA-PBE) results for an optimized crystal structure of Sc8AlGa2.

space-group type = Immm
energy relative to the lowest polymorph listed for this composition = 0.0 meV/atom

a b c (Å): 4.5946 7.6573 8.1173
angles (deg): 118.14 106.44 90.00
Each line ends with the local moment (μB).
Fractional coordinates of all 11 atoms:
Sc (0.6586, 0.8744, 0.3172)  0.11
Sc (0.3414, 0.5572, 0.6828)  0.11
Sc (0.1448, 0.1447, 0.2895)  0.19
Sc (0.0000, 0.3065, 0.0000)  0.21
Sc (0.8552, 0.8553, 0.7105)  0.19
Sc (0.6586, 0.4428, 0.3172)  0.11
Sc (0.3414, 0.1256, 0.6828)  0.11
Sc (0.0000, 0.6935, 0.0000)  0.21
Al (0.5000, 0.0000, 0.0000)  -0.01
Ga (0.1941, 0.6941, 0.3882)  -0.01
Ga (0.8059, 0.3059, 0.6118)  -0.01

Entry 6:
DFT (GGA-PBE) results for an optimized crystal structure of Sc2AlGa4.

space-group type = Cmmm
energy relative to the lowest polymorph listed for this composition = 0.0 meV/atom

a b c (Å): 4.0633 5.7151 5.7151
angles (deg): 86.89 90.00 90.00
Fractional coordinates of all 7 atoms:
Sc (0.0000, 0.7608, 0.2392)
Sc (0.0000, 0.2392, 0.7608)
Al (0.5000, 0.5000, 0.5000)
Ga (0.0000, 0.7495, 0.7495)
Ga (0.0000, 0.2505, 0.2505)
Ga (0.5000, 0.0000, 0.5000)
Ga (0.5000, 0.5000, 0.0000)

Entry 7:
DFT (GGA-PBE) results for an optimized crystal structure of ScAl3Ga.

space-group type = Pm-3m
energy relative to the lowest polymorph listed for this composition = 785.0 meV/atom

a b c (Å): 5.3064 5.3064 5.3064
angles (deg): 90.00 90.00 90.00
Fractional coordinates of all 5 atoms:
Sc (0.0000, 0.0000, 0.0000)
Al (0.0000, 0.5000, 0.0000)
Al (0.0000, 0.0000, 0.5000)
Al (0.5000, 0.0000, 0.0000)
Ga (0.5000, 0.5000, 0.5000)

Entry 8:
DFT (GGA-PBE) results for an optimized crystal structure of Sc6AlGa5.

space-group type = Immm
VASP energy = -5.305 eV per atom

a b c (Å): 4.7592 6.6920 8.2467
angles (deg): 113.94 106.77 90.00
Fractional coordinates of all 12 atoms:
Sc (0.8316, 0.5795, 0.6632)
Sc (0.8316, 0.0837, 0.6632)
Sc (0.4999, 0.7455, 0.0000)
Sc (0.5001, 0.2545, 0.0000)
Sc (0.1684, 0.9163, 0.3368)
Sc (0.1684, 0.4205, 0.3368)
Al (0.0000, 0.0000, 0.0000)
Ga (0.6627, 0.1627, 0.3254)
Ga (0.3329, 0.3329, 0.6659)
Ga (0.0000, 0.5000, 0.0000)
Ga (0.6671, 0.6671, 0.3341)
Ga (0.3373, 0.8373, 0.6746)

Entry 9:
DFT (GGA-PBE) results for an optimized crystal structure of Sc4AlGa3.

space-group type = Pmm2
VASP energy = -5.314 eV per atom

a b c (Å): 3.6362 4.1286 10.6335
angles (deg): 90.00 90.00 90.00
Fractional coordinates of all 8 atoms:
Sc (0.5000, 0.5000, 0.3520)
Sc (0.0000, 0.5000, 0.8480)
Sc (0.0000, 0.0000, 0.1531)
Sc (0.5000, 0.0000, 0.6490)
Al (0.5000, 0.5000, 0.0733)
Ga (0.0000, 0.5000, 0.5786)
Ga (0.0000, 0.0000, 0.4239)
Ga (0.5000, 0.0000, 0.9221)

Entry 10:
DFT (GGA-PBE) results for an optimized crystal structure of Sc5AlGa6.

space-group type = Immm
VASP energy = -4.992 eV per atom

a b c (Å): 4.2589 8.0688 7.9159
angles (deg): 120.64 105.60 90.00
Each line ends with the local moment (μB).
Fractional coordinates of all 12 atoms:
Sc (0.3520, 0.8520, 0.7040)  0.00
Sc (0.6709, 0.6709, 0.3418)  0.05
Sc (0.0000, 0.5000, 0.0000)  0.11
Sc (0.3291, 0.3291, 0.6582)  0.05
Sc (0.6480, 0.1480, 0.2960)  0.00
Al (0.0000, 0.0000, 0.0000)  0.00
Ga (0.1698, 0.4239, 0.3397)  0.00
Ga (0.1699, 0.9158, 0.3397)  0.00
Ga (0.4998, 0.2582, 0.0000)  0.00
Ga (0.5002, 0.7418, 0.0000)  0.00
Ga (0.8301, 0.0842, 0.6603)  0.00
Ga (0.8302, 0.5761, 0.6603)  0.00

Entry 11:
DFT (GGA-PBE) results for an optimized crystal structure of Sc2Al2Ga.

space-group type = P4/mbm
energy relative to the lowest polymorph listed for this composition = 351.0 meV/atom

a b c (Å): 7.8144 7.8144 3.4254
angles (deg): 90.00 90.00 90.00
Fractional coordinates of all 10 atoms:
Sc (0.3236, 0.8236, 0.0000)
Sc (0.8236, 0.6764, 0.0000)
Sc (0.6764, 0.1764, 0.0000)
Sc (0.1764, 0.3236, 0.0000)
Al (0.1218, 0.6218, 0.5000)
Al (0.6218, 0.8782, 0.5000)
Al (0.8782, 0.3782, 0.5000)
Al (0.3782, 0.1218, 0.5000)
Ga (0.0000, 0.0000, 0.0000)
Ga (0.5000, 0.5000, 0.0000)

Entry 12:
DFT (GGA-PBE) results for an optimized crystal structure of Sc2AlGa6.

space-group type = Cmmm
VASP energy = -4.093 eV per atom

a b c (Å): 3.1936 7.2265 8.2102
angles (deg): 116.11 90.00 90.00
Fractional coordinates of all 9 atoms:
Sc (0.5000, 0.6925, 0.3850)
Sc (0.5000, 0.3075, 0.6150)
Al (0.0000, 0.0000, 0.0000)
Ga (0.0001, 0.3388, 0.3146)
Ga (0.9999, 0.0242, 0.6854)
Ga (0.9999, 0.6612, 0.6854)
Ga (0.5000, 0.3113, 0.0000)
Ga (0.0001, 0.9758, 0.3146)
Ga (0.5000, 0.6887, 0.0000)

Entry 13:
DFT (GGA-PBE) results for an optimized crystal structure of Sc2Al4Ga.

space-group type = R-3m
energy relative to the lowest polymorph listed for this composition = 0.0 meV/atom

a b c (Å): 4.5408 4.5408 7.7696
angles (deg): 73.01 73.01 60.00
Fractional coordinates of all 7 atoms:
Sc (0.5689, 0.5689, 0.2934)
Sc (0.4311, 0.4311, 0.7066)
Al (0.8280, 0.8280, 0.5161)
Al (0.6986, 0.6986, 0.9041)
Al (0.3014, 0.3014, 0.0959)
Al (0.1720, 0.1720, 0.4839)
Ga (0.0000, 0.0000, 0.0000)

Entry 14:
DFT (GGA-PBE) results for an optimized crystal structure of ScAl3Ga.

space-group type = Pm-3m
energy relative to the lowest polymorph listed for this composition = 303.4 meV/atom

a b c (Å): 4.8109 4.8109 4.8109
angles (deg): 90.00 90.00 90.00
Fractional coordinates of all 5 atoms:
Sc (0.5000, 0.5000, 0.5000)
Al (0.0000, 0.5000, 0.0000)
Al (0.0000, 0.0000, 0.5000)
Al (0.5000, 0.0000, 0.0000)
Ga (0.0000, 0.0000, 0.0000)

Entry 15:
DFT (GGA-PBE) results for an optimized crystal structure of Sc8Al2Ga.

space-group type = C2/m
energy relative to the lowest polymorph listed for this composition = 91.2 meV/atom

a b c (Å): 5.0448 7.8749 7.8749
angles (deg): 118.28 102.90 102.90
Fractional coordinates of all 11 atoms:
Sc (0.8711, 0.9031, 0.6669)
Sc (0.8711, 0.6669, 0.9031)
Sc (0.2981, 0.6077, 0.6077)
Sc (0.5000, 0.7899, 0.2101)
Sc (0.5000, 0.2101, 0.7899)
Sc (0.7019, 0.3923, 0.3923)
Sc (0.1289, 0.3331, 0.0969)
Sc (0.1289, 0.0969, 0.3331)
Al (0.0000, 0.3041, 0.6959)
Al (0.0000, 0.6959, 0.3041)
Ga (0.5000, 0.0000, 0.0000)

Entry 16:
DFT (GGA-PBE) results for an optimized crystal structure of Sc5AlGa2.

space-group type = I4/mcm
VASP energy = -5.637 eV per atom

a b c (Å): 7.2520 7.2520 8.2717
angles (deg): 116.00 116.00 90.00
Fractional coordinates of all 16 atoms:
Sc (0.5180, 0.6869, 0.7049)
Sc (0.8131, 0.9820, 0.2951)
Sc (0.0000, 0.0000, 0.0000)
Sc (0.5000, 0.5000, 0.0000)
Sc (0.1869, 0.0180, 0.7049)
Sc (0.6869, 0.1869, 0.7049)
Sc (0.0180, 0.5180, 0.7049)
Sc (0.3131, 0.8131, 0.2951)
Sc (0.9820, 0.4820, 0.2951)
Sc (0.4820, 0.3131, 0.2951)
Al (0.7500, 0.7500, 0.5000)
Al (0.2500, 0.2500, 0.5000)
Ga (0.1287, 0.3713, 0.0000)
Ga (0.6287, 0.1287, 0.0000)
Ga (0.3713, 0.8713, 0.0000)
Ga (0.8713, 0.6287, 0.0000)

Entry 17:
DFT (GGA-PBE) results for an optimized crystal structure of Sc2Al4Ga.

space-group type = I4/mmm
energy relative to the lowest polymorph listed for this composition = 561.2 meV/atom

a b c (Å): 4.8030 4.8030 7.8095
angles (deg): 72.09 72.09 90.00
Fractional coordinates of all 7 atoms:
Sc (0.6237, 0.6237, 0.7526)
Sc (0.3763, 0.3763, 0.2474)
Al (0.8242, 0.8242, 0.3516)
Al (0.1758, 0.1758, 0.6484)
Al (0.0000, 0.5000, 0.0000)
Al (0.5000, 0.0000, 0.0000)
Ga (0.0000, 0.0000, 0.0000)

Entry 18:
DFT (GGA-PBE) results for an optimized crystal structure of Sc8AlGa2.

space-group type = C2/m
energy relative to the lowest polymorph listed for this composition = 64.9 meV/atom

a b c (Å): 5.0070 7.6862 7.6862
angles (deg): 116.27 100.59 100.59
Each line ends with the local moment (μB).
Fractional coordinates of all 11 atoms:
Sc (0.8899, 0.9126, 0.6727)  0.09
Sc (0.8899, 0.6727, 0.9126)  0.09
Sc (0.3005, 0.6063, 0.6063)  0.05
Sc (0.5000, 0.7770, 0.2230)  0.03
Sc (0.5000, 0.2230, 0.7770)  0.03
Sc (0.6995, 0.3937, 0.3937)  0.05
Sc (0.1101, 0.3273, 0.0874)  0.09
Sc (0.1101, 0.0874, 0.3273)  0.09
Al (0.5000, 0.0000, 0.0000)  0.00
Ga (0.0000, 0.3060, 0.6940)  0.00
Ga (0.0000, 0.6940, 0.3060)  0.00

Entry 19:
DFT (GGA-PBE) results for an optimized crystal structure of Sc2AlGa9.

space-group type = P4/mmm
VASP energy = -3.938 eV per atom

a b c (Å): 4.1207 4.1207 12.4965
angles (deg): 90.00 90.00 90.00
Fractional coordinates of all 12 atoms:
Sc (0.0000, 0.0000, 0.3386)
Sc (0.0000, 0.0000, 0.6614)
Al (0.0000, 0.0000, 0.0000)
Ga (0.5000, 0.5000, 0.0000)
Ga (0.5000, 0.5000, 0.3344)
Ga (0.5000, 0.5000, 0.6656)
Ga (0.5000, 0.0000, 0.1653)
Ga (0.5000, 0.0000, 0.5000)
Ga (0.5000, 0.0000, 0.8347)
Ga (0.0000, 0.5000, 0.1653)
Ga (0.0000, 0.5000, 0.5000)
Ga (0.0000, 0.5000, 0.8347)

Entry 20:
DFT (GGA-PBE) results for an optimized crystal structure of Sc4AlGa2.

space-group type = R-3m
energy relative to the lowest polymorph listed for this composition = 0.0 meV/atom

a b c (Å): 4.6960 4.6960 8.1008
angles (deg): 73.15 73.15 60.00
Fractional coordinates of all 7 atoms:
Sc (0.8705, 0.8705, 0.3885)
Sc (0.1295, 0.1295, 0.6115)
Sc (0.6178, 0.6178, 0.1467)
Sc (0.3822, 0.3822, 0.8533)
Al (0.0000, 0.0000, 0.0000)
Ga (0.7490, 0.7490, 0.7531)
Ga (0.2510, 0.2510, 0.2469)